Tb2Y3Tm6Zr | PBE | relaxed

Structure (POSCAR):
```
Tb2Y3Tm6Zr
1.0
-0.110 -5.352 -2.809
4.226 1.130 4.173
-8.258 -2.703 7.638
Tb Y Tm Zr
2 3 6 1
direct
0.333 0.667 0.000
0.667 0.333 0.000
0.167 0.833 0.500
0.833 0.167 0.500
0.500 0.500 0.500
0.919 0.592 0.756
0.754 0.754 0.244
0.081 0.408 0.244
0.592 0.919 0.756
0.246 0.246 0.756
0.408 0.081 0.244
0.000 0.000 0.000
```

Summary:
calculated formation energy = 0.575 eV per formula unit
uncorrected energy = -5.288 eV/atom
Fermi-level density of states = 16.01 states/eV per cell

TbTm2Zn3 | PBE | relaxed

Structure (POSCAR):
```
TbTm2Zn3
1.0
-1.706 4.662 0.670
-2.281 -3.849 2.251
3.695 0.654 4.862
Tb Tm Zn
1 2 3
direct
0.000 0.000 0.000
0.667 0.333 0.338
0.333 0.667 0.662
0.000 0.000 0.500
0.667 0.333 0.834
0.333 0.667 0.166
```

Summary:
calculated formation energy = -2.079 eV per formula unit
uncorrected energy = -3.246 eV/atom
Fermi-level density of states = 6.28 states/eV per cell

Question: The lowest Fermi-level density of states belongs to which entry?
Answer: TbTm2Zn3